Record 1
P2IrOs | PBE | relaxed

The value obtained for the volume is 60.23 Å³/cell. Its density of states at the Fermi level is 1.02 states/eV/f.u. The energy of formation is -0.22 eV per atom. The energy above the most stable polymorph in this dataset is 88.2 meV per atom.

Lattice parameters (Å, degrees): 3.749 3.877 4.608 87.80 73.51 70.07
Space group P1 (No. 1)
Symmetry-distinct sites (fractional):
P 0.000 0.000 0.000 x1
P 0.362 0.167 0.434 x1
Ir 0.393 0.373 0.923 x1
Os 0.972 0.798 0.506 x1

---

Record 2
PIrOs2 | PBE | relaxed

The value obtained for the volume is 58.19 Å³/cell. Its density of states at the Fermi level is 3.42 states/eV/f.u. The energy of formation is 0.30 eV per atom.

Lattice parameters (Å, degrees): 2.798 3.716 5.597 90.00 90.00 90.00
Space group Pmm2 (No. 25)
Symmetry-distinct sites (fractional):
P 0.000 0.000 0.000 x1
Ir 0.500 0.500 0.146 x1
Os 0.000 0.000 0.441 x1
Os 0.500 0.500 0.653 x1

---

Record 3
RbPIrOs2 | PBE | relaxed

The value obtained for the volume is 131.88 Å³/cell. Its density of states at the Fermi level is 6.54 states/eV/f.u. The energy of formation is 2.19 eV per atom.

Lattice parameters (Å, degrees): 4.734 4.734 5.885 90.00 90.00 90.00
Space group P4/mmm (No. 123)
Symmetry-distinct sites (fractional):
Rb 0.000 0.000 0.000 x1
P 0.500 0.500 0.000 x1
Ir 0.000 0.000 0.500 x1
Os 0.000 0.500 0.500 x2

---

Record 4
PIrOsRh2 | PBE | relaxed

The value obtained for the volume is 103.90 Å³/cell. Its density of states at the Fermi level is 5.43 states/eV/f.u. The energy of formation is 1.72 eV per atom.

Lattice parameters (Å, degrees): 4.689 4.689 4.726 90.00 90.00 90.00
Space group P4/mmm (No. 123)
Symmetry-distinct sites (fractional):
P 0.000 0.000 0.000 x1
Ir 0.500 0.500 0.000 x1
Os 0.500 0.500 0.500 x1
Rh 0.000 0.500 0.500 x2

---

Record 5
ScPIrOs2 | PBE | relaxed

The value obtained for the volume is 84.46 Å³/cell. Its density of states at the Fermi level is 3.26 states/eV/f.u. The energy of formation is 0.11 eV per atom.

Lattice parameters (Å, degrees): 4.388 4.388 4.386 90.00 90.00 90.00
Space group P4/mmm (No. 123)
Symmetry-distinct sites (fractional):
Sc 0.000 0.000 0.000 x1
P 0.500 0.500 0.500 x1
Ir 0.500 0.500 0.000 x1
Os 0.000 0.500 0.500 x2

---

Record 6
P2IrOsSe | PBE | relaxed

The value obtained for the volume is 98.60 Å³/cell. Its density of states at the Fermi level is 4.16 states/eV/f.u. As for the uncorrected formation energy: 1383 meV per atom.

Lattice parameters (Å, degrees): 4.444 4.444 4.994 90.00 90.00 90.00
Space group P4/mmm (No. 123)
Symmetry-distinct sites (fractional):
P 0.000 0.500 0.000 x2
Ir 0.000 0.000 0.000 x1
Os 0.500 0.500 0.500 x1
Se 0.000 0.000 0.500 x1